Record 1
# PmAgPdPt | the Alexandria database | GGA-PBE | optimized geometry
# Mass density (Mg/m³): 11.607
# Calculated total energy (eV/atom): -5.31
data_PmAgPdPt
_chemical_formula_sum 'Pm4 Ag4 Pd4 Pt4'
_symmetry_space_group_name_H-M 'F -4 3 m'
_symmetry_Int_Tables_number 216
_symmetry_space_group_name_Hall 'F -4 2 3'
_cell_length_a 6.8201
_cell_length_b 6.8201
_cell_length_c 6.8201
_cell_angle_alpha 90.00
_cell_angle_beta 90.00
_cell_angle_gamma 90.00
loop_
_atom_site_label
_atom_site_fract_x
_atom_site_fract_y
_atom_site_fract_z
Pm1 0.0000 0.0000 0.0000
Ag1 0.0000 0.0000 0.5000
Pd1 0.2500 0.2500 0.2500
Pt1 0.2500 0.2500 0.7500

Record 2
# Ti2CoAg | the Alexandria database | GGA-PBE | optimized geometry
# Mass density (Mg/m³): 6.761
# Calculated total energy (eV/atom): -6.19
data_Ti2CoAg
_chemical_formula_sum 'Ti6 Co3 Ag3'
_symmetry_space_group_name_H-M 'R -3 m'
_symmetry_Int_Tables_number 166
_symmetry_space_group_name_Hall '-R 3 2"'
_cell_length_a 2.7973
_cell_length_b 2.7973
_cell_length_c 28.5433
_cell_angle_alpha 90.00
_cell_angle_beta 90.00
_cell_angle_gamma 120.00
loop_
_atom_site_label
_atom_site_fract_x
_atom_site_fract_y
_atom_site_fract_z
Ti1 0.0000 0.0000 0.0973
Co1 0.0000 0.0000 0.5000
Ag1 0.0000 0.0000 0.0000

mass density of number 1 (PmAgPdPt)? 11.607 Mg/m³

What is the mass density in the second record? 6.761 Mg/m³

Which value of calculated total energy does entry 2 give? -6.19 eV/atom